(1)
Entry from the Alexandria database: crystalline CaSc2Cu at its relaxed geometry (GGA-PBE).

abc: 6.2078 6.2078 5.0563
angles: 65.96 65.96 32.71
Last column: nearest neighbours and their distance in Å.
Positions (direct):
Sc 0.0547 0.0547 0.9431  2 Cu 2.63
Ca 0.4573 0.4573 0.5404  2 Cu 2.95, 4 Sc 3.25
Sc 0.2510 0.2510 0.2476  4 Cu 3.05-3.11, 2 Sc 3.29-3.30, 2 Ca 3.37
Cu 0.7369 0.7369 0.7690  2 Sc 2.63

## Properties
Energy of formation ... 0.0926 eV/atom
Magnetic moment ... 0.0 μB/f.u.
Uncorrected energy ... -18.4 eV per formula unit

=====

(2)
Entry from the Alexandria database: crystalline Li2InPd at its relaxed geometry (GGA-PBE).

abc: 4.1558 3.9710 3.9710
angles: 90.00 90.00 90.00
Last column: nearest neighbours and their distance in Å.
Positions (direct):
Li 0.0000 0.0000 0.5000  4 Li 2.81, 4 In 2.87, 4 Pd 2.87
Li 0.0000 0.5000 0.0000  4 Li 2.81, 4 Pd 2.87, 4 In 2.87
In 0.5000 0.5000 0.5000  4 Pd 2.81, 8 Li 2.87
Pd 0.5000 0.0000 0.0000  4 In 2.81, 8 Li 2.87

## Properties
Energy of formation ... -0.4397 eV/atom
Magnetic moment ... 0.0 μB/f.u.
Uncorrected energy ... -13.5 eV per formula unit